[1]
AgRhI after structural relaxation. Source: Alexandria via LeMat-Bulk, functional PBE-GGA.

Cell lengths 5.509, 4.023, 6.746 Å; angles 90.00, 100.52, 90.00 degrees
Space group P2_1/m (No. 11)
One atom of each set of equivalent atoms:
1 Ag 0.141 0.250 0.136 (multiplicity 2)
2 Rh 0.367 0.750 0.914 (multiplicity 2)
3 I 0.293 0.250 0.664 (multiplicity 2)



[2]
HfUV after structural relaxation. Source: Alexandria via LeMat-Bulk, functional PBE-GGA.

Summary:
The calculation puts the formation enthalpy at 0 K at 0.769 eV/atom.

Cell lengths 2.799, 2.799, 15.275 Å; angles 90.00, 90.00, 90.00 degrees
Space group I4mm (No. 107)
One atom of each set of equivalent atoms:
1 Hf 0.000 0.000 0.000 (multiplicity 2)
2 U 0.000 0.000 0.334 (multiplicity 2)
3 V 0.000 0.000 0.177 (multiplicity 2)



One value per record, in order, for V: 24.5 19.9 A^3/atom.
One value per record, in order, for energy above the most stable polymorph in this dataset: 5.6 47.7 kJ/mol of atoms.
One value per record, in order, for final energy: -22.26 -56.11 eV for the cell shown.